Record 1
# CsYMo GGA-PBE relaxed
data_CsYMo
_chemical_formula_sum 'Cs4 Y4 Mo4'
_symmetry_space_group_name_H-M 'I 4/m m m'
_symmetry_Int_Tables_number 139
_symmetry_space_group_name_Hall '-I 4 2'
_cell_length_a 5.5729
_cell_length_b 5.5729
_cell_length_c 17.5296
_cell_angle_alpha 90.00
_cell_angle_beta 90.00
_cell_angle_gamma 90.00
loop_
_atom_site_label
_atom_site_type_symbol
_atom_site_fract_x
_atom_site_fract_y
_atom_site_fract_z
Cs1 Cs 0.0000 0.0000 0.1866
Y1 Y 0.0000 0.5000 0.0000
Mo1 Mo 0.0000 0.0000 0.4370
# M_tot (μB/cell): 0.00
# ΔE to the lowest computed polymorph (eV per atom): 0.364
# Calculated density (g cm⁻³): 3.88
# Uncorrected energy (eV per cell): -63.245
# Energy of formation (eV/atom): 0.78
# Volume (Å³/cell): 544.4


Record 2
# CeCd5 GGA-PBE relaxed
data_CeCd5
_chemical_formula_sum 'Ce2 Cd10'
_symmetry_space_group_name_H-M 'C m m m'
_symmetry_Int_Tables_number 65
_symmetry_space_group_name_Hall '-C 2 2'
_cell_length_a 4.7744
_cell_length_b 12.6109
_cell_length_c 4.8595
_cell_angle_alpha 90.00
_cell_angle_beta 90.00
_cell_angle_gamma 90.00
loop_
_atom_site_label
_atom_site_type_symbol
_atom_site_fract_x
_atom_site_fract_y
_atom_site_fract_z
Ce1 Ce 0.0000 0.0000 0.0000
Cd1 Cd 0.0000 0.1693 0.5000
Cd2 Cd 0.0000 0.3222 0.0000
Cd3 Cd 0.0000 0.5000 0.5000
# M_tot (μB/cell): 2.02
# Calculated density (g cm⁻³): 7.97
# Uncorrected energy (eV per cell): -22.402
# Energy of formation (eV/atom): -0.12
# Volume (Å³/cell): 292.6


Q: Number 1 is which compound?
A: CsYMo


Repeat the second record exactly.
# CeCd5 GGA-PBE relaxed
data_CeCd5
_chemical_formula_sum 'Ce2 Cd10'
_symmetry_space_group_name_H-M 'C m m m'
_symmetry_Int_Tables_number 65
_symmetry_space_group_name_Hall '-C 2 2'
_cell_length_a 4.7744
_cell_length_b 12.6109
_cell_length_c 4.8595
_cell_angle_alpha 90.00
_cell_angle_beta 90.00
_cell_angle_gamma 90.00
loop_
_atom_site_label
_atom_site_type_symbol
_atom_site_fract_x
_atom_site_fract_y
_atom_site_fract_z
Ce1 Ce 0.0000 0.0000 0.0000
Cd1 Cd 0.0000 0.1693 0.5000
Cd2 Cd 0.0000 0.3222 0.0000
Cd3 Cd 0.0000 0.5000 0.5000
# M_tot (μB/cell): 2.02
# Calculated density (g cm⁻³): 7.97
# Uncorrected energy (eV per cell): -22.402
# Energy of formation (eV/atom): -0.12
# Volume (Å³/cell): 292.6


Q: Among the records above, which one has the highest calculated density?
A: CeCd5